AcHgGe2Pd5 after structural relaxation, computed with PBE.

Electronic total energy (eV per atom): -4.851
Total magnetic moment (μB/cell): 0.00
D(E_F) (states/eV per atom): 0.49
Formation enthalpy at 0 K (meV/atom): -450

Lattice parameters (Å, degrees): 4.6943 4.6943 7.9711 90.00 90.00 90.00
Closest atoms and distances in Å follow each position.
Sites, in units of the cell vectors:
Ac: 0.0000 0.0000 0.5000  12 Pd 3.07-3.32
Hg: 0.0000 0.0000 0.0000  8 Pd 3.08
Ge: 0.5000 0.5000 0.1531  1 Ge 2.44, 4 Pd 2.47
Ge: 0.5000 0.5000 0.8469  1 Ge 2.44, 4 Pd 2.47
Pd: 0.0000 0.5000 0.2509  2 Ge 2.47
Pd: 0.5000 0.0000 0.2509  2 Ge 2.47
Pd: 0.0000 0.5000 0.7491  2 Ge 2.47
Pd: 0.5000 0.0000 0.7491  2 Ge 2.47
Pd: 0.5000 0.5000 0.5000  2 Ge 2.77, 8 Pd 3.07